1.
A crystal of ScMnAu3 relaxed with PBEsol, computed with SCAN.

Structure (POSCAR):
```
ScMnAu3
1.0
-4.2756 -2.0351 0.4252
0.8984 -0.9316 4.5747
-1.8749 4.1945 1.2223
Au Mn Sc
3 1 1
Direct
0.0000 0.5000 0.0000
0.5000 0.0000 0.0000
0.0000 0.0000 0.5000
0.0000 0.0000 0.0000
0.5000 0.5000 0.5000
```

* raw total energy: -1.7605 hartree per atom
* formation energy from the elements: 0.09 eV/atom

=====

2.
A crystal of MnAuSe relaxed with PBEsol, computed with SCAN.

Structure (POSCAR):
```
MnAuSe
1.0
3.0411 0.0000 0.0000
0.0000 3.0411 0.0000
-1.5206 -1.5206 5.3864
Se Mn Au
1 1 1
Direct
0.6957 0.6957 0.3915
0.3198 0.3198 0.6396
0.9845 0.9845 0.9689
```

* raw total energy: -1.3232 hartree per atom

=====

3.
A crystal of MnAuSe3 relaxed with PBEsol, computed with SCAN.

Structure (POSCAR):
```
MnAuSe3
1.0
-0.9343 -3.3448 -3.1335
0.2684 -3.2324 3.3704
-4.5755 0.4934 0.8376
Se Mn Au
3 1 1
Direct
0.0000 0.0000 0.5000
0.0000 0.5000 0.0000
0.5000 0.0000 0.0000
0.0000 0.0000 0.0000
0.5000 0.5000 0.5000
```

* raw total energy: -1.0717 hartree per atom

=====

4.
A crystal of MnSiAu relaxed with PBEsol, computed with SCAN.

Structure (POSCAR):
```
MnSiAu
1.0
-1.3957 3.5547 -1.6995
-3.9523 0.2680 -1.3341
-2.7496 2.3693 2.0733
Si Au Mn
1 1 1
Direct
0.5000 0.5000 0.5000
0.2500 0.2500 0.2500
0.0000 0.0000 0.0000
```

* raw total energy: -1.2046 hartree per atom